A geometry-optimized TcPAuO structure, computed with GGA-PBE.

a = 3.003 Å, b = 6.076 Å, c = 7.309 Å
α = 90.00°, β = 90.00°, γ = 90.00°
Positions (direct):
O 0.500 0.072 0.747
O 0.500 0.928 0.247
Au 0.000 0.404 0.104
Au 0.000 0.596 0.604
P 0.000 0.287 0.410
P 0.000 0.713 0.910
Tc 0.500 0.994 0.993
Tc 0.500 0.006 0.493

As for the raw total energy: -6.42 eV/atom.